Entry 1:
Fe6Co: optimized geometry, GGA-PBEsol.

Formation energy from the elements: 0.0204 eV/atom
Energy above the most stable polymorph in this dataset: 2 meV/atom
Electronic total energy: -8.77 eV per atom
Space group: R-3m

Cell lengths 6.094, 6.094, 6.094 Å; angles 37.81, 37.81, 37.81 degrees
Element x y z (fractional)
Fe  0.071  0.071  0.071
Fe  0.214  0.214  0.214
Fe  0.358  0.358  0.358
Fe  0.642  0.642  0.642
Fe  0.786  0.786  0.786
Fe  0.929  0.929  0.929
Co  0.500  0.500  0.500



Entry 2:
SiTc2SbF: optimized geometry, GGA-PBEsol.

Electronic total energy: -6.89 eV per atom
Space group: P4/mmm

Cell lengths 4.663, 4.663, 3.558 Å; angles 90.00, 90.00, 90.00 degrees
Element x y z (fractional)
Si  0.000  0.000  0.000
Tc  0.000  0.500  0.000
Tc  0.500  0.000  0.000
Sb  0.500  0.500  0.500
F  0.000  0.000  0.500



Entry 3:
NaYMg2: optimized geometry, GGA-PBEsol.

Formation energy from the elements: 0.3557 eV/atom
Electronic total energy: -2.56 eV per atom
Space group: I-42d

Cell lengths 6.736, 6.736, 6.736 Å; angles 102.96, 102.96, 123.48 degrees
Element x y z (fractional)
Na  0.000  0.000  0.000
Na  0.750  0.250  0.500
Y  0.250  0.750  0.500
Y  0.500  0.500  0.000
Mg  0.106  0.625  0.981
Mg  0.375  0.356  0.481
Mg  0.644  0.125  0.019
Mg  0.875  0.894  0.519



Entry 4:
Ba4Cu3IO12: optimized geometry, GGA-PBEsol.

Electronic total energy: -5.75 eV per atom
Space group: Im-3m

Cell lengths 6.945, 6.945, 6.945 Å; angles 109.47, 109.47, 109.47 degrees
Element x y z (fractional)
Ba  0.000  0.000  0.500
Ba  0.000  0.500  0.000
Ba  0.500  0.000  0.000
Ba  0.500  0.500  0.500
Cu  0.000  0.500  0.500
Cu  0.500  0.000  0.500
Cu  0.500  0.500  0.000
I  0.000  0.000  0.000
O  0.000  0.238  0.238
O  0.000  0.762  0.762
O  0.238  0.000  0.238
O  0.238  0.238  0.000
O  0.250  0.500  0.750
O  0.250  0.750  0.500
O  0.500  0.250  0.750
O  0.500  0.750  0.250
O  0.750  0.250  0.500
O  0.750  0.500  0.250
O  0.762  0.000  0.762
O  0.762  0.762  0.000



Entry 5:
HfTe2MoPt: optimized geometry, GGA-PBEsol.

Electronic total energy: -6.46 eV per atom
Space group: P4/mmm

Cell lengths 5.112, 5.112, 4.761 Å; angles 90.00, 90.00, 90.00 degrees
Element x y z (fractional)
Hf  0.000  0.000  0.000
Te  0.000  0.500  0.500
Te  0.500  0.000  0.500
Mo  0.500  0.500  0.500
Pt  0.500  0.500  0.000



Entry 6:
V2O3: optimized geometry, GGA-PBEsol.

Electronic total energy: -9.16 eV per atom
Space group: P2_1/c

Cell lengths 3.655, 11.852, 5.223 Å; angles 90.00, 107.31, 90.00 degrees
Element x y z (fractional)
V  0.126  0.157  0.185
V  0.126  0.343  0.685
V  0.339  0.055  0.715
V  0.339  0.445  0.215
V  0.661  0.555  0.785
V  0.661  0.945  0.285
V  0.874  0.657  0.315
V  0.874  0.843  0.815
O  0.178  0.197  0.548
O  0.178  0.303  0.048
O  0.178  0.507  0.825
O  0.178  0.993  0.325
O  0.420  0.607  0.412
O  0.420  0.893  0.912
O  0.580  0.107  0.088
O  0.580  0.393  0.588
O  0.822  0.007  0.675
O  0.822  0.493  0.175
O  0.822  0.697  0.952
O  0.822  0.803  0.452